(1)
Zr2Be2Ag: optimized geometry, PBE-GGA.

a b c (Å): 6.4529 6.4529 3.8704
angles (deg): 90.00 90.00 90.00
Last column: nearest neighbours and their distance in Å.
Fractional coordinates of all 10 atoms:
Be1 0.3775 0.8775 0.0000  1 Be 2.24
Be2 0.8775 0.6225 0.0000  1 Be 2.24
Be3 0.6225 0.1225 0.0000  1 Be 2.24
Be4 0.1225 0.3775 0.0000  1 Be 2.24
Zr1 0.1708 0.6708 0.5000  6 Be 2.70-2.73
Zr2 0.6708 0.8292 0.5000  6 Be 2.70-2.73
Zr3 0.8292 0.3292 0.5000  6 Be 2.70-2.73
Zr4 0.3292 0.1708 0.5000  6 Be 2.70-2.73
Ag1 0.0000 0.0000 0.0000  4 Be 2.56
Ag2 0.5000 0.5000 0.0000  4 Be 2.56

The calculation puts the mass density at 6.4 g cm⁻³. As for the formation energy from the elements: -0.1466 eV/atom. The density of states at the Fermi level comes out at 5.923 states/eV/cell. As for the space group: P4/mbm (127).

***

(2)
U3Fe2Si4: optimized geometry, PBE-GGA.

a b c (Å): 4.0200 5.5456 7.7811
angles (deg): 105.00 90.00 111.25
Last column: nearest neighbours and their distance in Å.
Fractional coordinates of all 9 atoms:
U1 0.6768 0.3537 0.6547  3 Fe 2.77-2.90, 8 Si 2.98-3.04
U2 0.0000 0.0000 0.0000  8 Si 2.83-3.07, 4 Fe 2.98
U3 0.3232 0.6463 0.3453  3 Fe 2.77-2.90, 8 Si 2.98-3.04
Fe1 0.6134 0.2269 0.2847  3 Si 2.32
Fe2 0.3866 0.7731 0.7153  3 Si 2.32
Si1 0.7182 0.4364 0.0575  1 Fe 2.32, 2 Si 2.37
Si2 0.2818 0.5636 0.9425  1 Fe 2.32, 2 Si 2.37
Si3 0.9585 0.9171 0.6248  2 Fe 2.32, 1 Si 2.33
Si4 0.0415 0.0829 0.3752  2 Fe 2.32, 1 Si 2.33

The calculation puts the mass density at 10.0 g cm⁻³. The raw formation energy is -0.372 eV/atom. The density of states at the Fermi level comes out at 13.889 states/eV/cell. As for the space group: C2/m (12).

***

(3)
CeNdMg4: optimized geometry, PBE-GGA.

a b c (Å): 6.0998 6.0998 6.0998
angles (deg): 60.00 60.00 60.00
Last column: nearest neighbours and their distance in Å.
Fractional coordinates of all 6 atoms:
Mg1 0.6252 0.6252 0.1245  6 Mg 3.05
Mg2 0.6252 0.1245 0.6252  6 Mg 3.05
Mg3 0.6252 0.6252 0.6252  6 Mg 3.05
Mg4 0.1245 0.6252 0.6252  6 Mg 3.05
Nd1 0.0000 0.0000 0.0000  12 Mg 3.58, 4 Ce 3.74
Ce1 0.2500 0.2500 0.2500  12 Mg 3.58, 4 Nd 3.74

The calculation puts the mass density at 3.9 g cm⁻³. As for the formation energy from the elements: -0.0441 eV/atom. The density of states at the Fermi level comes out at 10.616 states/eV/cell. As for the space group: F-43m (216).

***

(4)
BaTb2RuO8: optimized geometry, PBE-GGA.

a b c (Å): 5.2336 4.3712 7.2929
angles (deg): 72.84 88.97 87.95
Last column: nearest neighbours and their distance in Å.
Fractional coordinates of all 12 atoms:
Ba1 0.0000 0.0000 0.5000  10 O 2.79-3.02
Tb1 0.5235 0.3767 0.8130  8 O 2.31-2.52
Tb2 0.4765 0.6233 0.1870  8 O 2.31-2.52
Ru1 0.0000 0.0000 0.0000  6 O 1.90-2.00
O1 0.0264 0.6461 0.2386  1 Ru 1.96
O2 0.6970 0.8361 0.8982  1 Ru 2.00
O3 0.7636 0.2109 0.1260  1 Ru 1.90
O4 0.9736 0.3539 0.7614  1 Ru 1.96
O5 0.3030 0.1639 0.1018  1 Ru 2.00
O6 0.2364 0.7891 0.8740  1 Ru 1.90
O7 0.5005 0.6770 0.4922  1 O 1.52
O8 0.4995 0.3230 0.5078  1 O 1.52

The calculation puts the mass density at 7.1 g cm⁻³. The raw formation energy is -2.171 eV/atom. The density of states at the Fermi level comes out at 3.151 states/eV/cell. As for the space group: P-1 (2).

***

(5)
Zn3CrGe: optimized geometry, PBE-GGA.

a b c (Å): 4.6700 4.6700 4.6700
angles (deg): 90.00 90.00 90.00
Last column: nearest neighbours and their distance in Å.
Fractional coordinates of all 5 atoms:
Cr1 0.5000 0.5000 0.5000  12 Zn 3.30
Ge1 0.0000 0.0000 0.0000  6 Zn 2.34
Zn1 0.0000 0.5000 0.0000  2 Ge 2.34
Zn2 0.0000 0.0000 0.5000  2 Ge 2.34
Zn3 0.5000 0.0000 0.0000  2 Ge 2.34

The calculation puts the mass density at 5.2 g cm⁻³. As for the formation energy from the elements: 1.2619 eV/atom. The density of states at the Fermi level comes out at 6.050 states/eV/cell. As for the space group: Pm-3m (221).

***

(6)
Ce2YTl6: optimized geometry, PBE-GGA.

a b c (Å): 3.4941 9.1791 9.8324
angles (deg): 117.82 69.19 90.00
Last column: nearest neighbours and their distance in Å.
Fractional coordinates of all 9 atoms:
Ce1 0.6668 0.6666 0.3332  2 Ce 3.49, 12 Tl 3.52-3.54
Ce2 0.3332 0.3334 0.6668  2 Ce 3.49, 12 Tl 3.52-3.54
Y1 0.0000 0.0000 0.0000  2 Y 3.49, 12 Tl 3.50-3.52
Tl1 0.1644 0.3310 0.3310  3 Tl 3.04-3.11
Tl2 0.8355 0.0000 0.6690  3 Tl 3.04-3.11
Tl3 0.8356 0.6690 0.6690  3 Tl 3.04-3.11
Tl4 0.5000 0.3307 0.0000  3 Tl 3.04-3.11
Tl5 0.1645 0.0000 0.3310  3 Tl 3.04-3.11
Tl6 0.5000 0.6693 0.0000  3 Tl 3.04-3.11

The calculation puts the mass density at 10.4 g cm⁻³. As for the formation energy from the elements: -0.1462 eV/atom. The density of states at the Fermi level comes out at 15.507 states/eV/cell. As for the space group: C2/m (12).

***

(7)
Ca2PmPt: optimized geometry, PBE-GGA.

a b c (Å): 6.5457 7.6575 9.6865
angles (deg): 90.00 90.00 90.00
Last column: nearest neighbours and their distance in Å.
Fractional coordinates of all 16 atoms:
Ca1 0.1629 0.6743 0.0649  3 Pt 3.00-3.35
Ca2 0.3371 0.1743 0.4351  3 Pt 3.00-3.35
Ca3 0.8371 0.3257 0.5649  3 Pt 3.00-3.35
Ca4 0.6629 0.8257 0.9351  3 Pt 3.00-3.35
Ca5 0.8371 0.3257 0.9351  3 Pt 3.00-3.35
Ca6 0.6629 0.8257 0.5649  3 Pt 3.00-3.35
Ca7 0.1629 0.6743 0.4351  3 Pt 3.00-3.35
Ca8 0.3371 0.1743 0.0649  3 Pt 3.00-3.35
Pm1 0.6412 0.5393 0.2500  2 Pt 2.85-2.88
Pm2 0.8588 0.0393 0.2500  2 Pt 2.85-2.88
Pm3 0.3588 0.4607 0.7500  2 Pt 2.85-2.88
Pm4 0.1412 0.9607 0.7500  2 Pt 2.85-2.88
Pt1 0.0390 0.3779 0.2500  2 Pm 2.85-2.88, 4 Ca 3.00-3.07
Pt2 0.4610 0.8779 0.2500  2 Pm 2.85-2.88, 4 Ca 3.00-3.07
Pt3 0.9610 0.6221 0.7500  2 Pm 2.85-2.88, 4 Ca 3.00-3.07
Pt4 0.5390 0.1221 0.7500  2 Pm 2.85-2.88, 4 Ca 3.00-3.07

The calculation puts the mass density at 5.7 g cm⁻³. As for the formation energy from the elements: -0.5917 eV/atom. The density of states at the Fermi level comes out at 15.905 states/eV/cell. As for the space group: Pnma (62).

***

(8)
Pm3RuCl2O6: optimized geometry, PBE-GGA.

a b c (Å): 5.6260 6.6910 6.7043
angles (deg): 119.93 82.23 90.00
Last column: nearest neighbours and their distance in Å.
Fractional coordinates of all 12 atoms:
Pm1 0.0000 0.5000 0.0000  4 O 2.47, 2 Cl 2.71
Pm2 0.5000 0.5000 0.5000  4 O 2.26-2.36
Pm3 0.5000 0.0000 0.5000  4 O 2.26-2.36
Ru1 0.5000 0.0000 0.0000  6 O 1.97-2.10
Cl1 0.1337 0.7144 0.4287  3 Pm 2.71-2.74, 1 O 2.78
Cl2 0.8663 0.2856 0.5713  3 Pm 2.71-2.74, 1 O 2.78
O1 0.7004 0.2909 0.1125  1 Ru 2.10
O2 0.2996 0.7091 0.8875  1 Ru 2.10
O3 0.6707 0.8388 0.6777  1 Ru 1.97
O4 0.3293 0.1612 0.3223  1 Ru 1.97
O5 0.2996 0.1784 0.8875  1 Ru 2.10
O6 0.7004 0.8216 0.1125  1 Ru 2.10

The calculation puts the mass density at 5.4 g cm⁻³. The raw formation energy is -2.088 eV/atom. The density of states at the Fermi level comes out at 0.158 states/eV/cell. As for the space group: C2/m (12).

***

(9)
ZnSbS2: optimized geometry, PBE-GGA.

a b c (Å): 8.0031 8.0031 8.0031
angles (deg): 26.32 26.32 26.32
Last column: nearest neighbours and their distance in Å.
Fractional coordinates of all 4 atoms:
Sb1 0.0000 0.0000 0.0000  2 S 2.55
Zn1 0.5000 0.5000 0.5000  6 S 2.48
S1 0.8899 0.8899 0.8899  3 Zn 2.48, 1 Sb 2.55
S2 0.1101 0.1101 0.1101  3 Zn 2.48, 1 Sb 2.55

The calculation puts the mass density at 4.7 g cm⁻³. The raw formation energy is -0.141 eV/atom. The density of states at the Fermi level comes out at 1.938 states/eV/cell. As for the space group: R-3m (166).

***

(10)
SbMo3Au: optimized geometry, PBE-GGA.

a b c (Å): 4.9088 4.9088 4.9088
angles (deg): 90.00 90.00 90.00
Last column: nearest neighbours and their distance in Å.
Fractional coordinates of all 5 atoms:
Sb1 0.5000 0.5000 0.5000  12 Mo 3.47
Mo1 0.0000 0.5000 0.0000  2 Au 2.45
Mo2 0.0000 0.0000 0.5000  2 Au 2.45
Mo3 0.5000 0.0000 0.0000  2 Au 2.45
Au1 0.0000 0.0000 0.0000  6 Mo 2.45

The calculation puts the mass density at 8.5 g cm⁻³. The raw formation energy is 2.023 eV/atom. The density of states at the Fermi level comes out at 9.450 states/eV/cell. As for the space group: Pm-3m (221).

***

(11)
K2CoOs: optimized geometry, PBE-GGA.

a b c (Å): 6.1370 6.1370 6.1370
angles (deg): 143.56 143.56 52.49
Last column: nearest neighbours and their distance in Å.
Fractional coordinates of all 4 atoms:
Co1 0.7500 0.2500 0.5000  4 Os 2.71
K1 0.0000 0.0000 0.0000  4 K 2.71
K2 0.5000 0.5000 0.0000  4 K 2.71
Os1 0.2500 0.7500 0.5000  4 Co 2.71

The calculation puts the mass density at 6.7 g cm⁻³. As for the formation energy from the elements: 1.4414 eV/atom. The density of states at the Fermi level comes out at 2.008 states/eV/cell. As for the space group: I4/mmm (139).

***

(12)
Ho8Cu2Bi: optimized geometry, PBE-GGA.

a b c (Å): 5.4268 7.9808 7.9808
angles (deg): 113.75 98.09 98.09
Last column: nearest neighbours and their distance in Å.
Fractional coordinates of all 11 atoms:
Ho1 0.9051 0.9188 0.6651  2 Cu 2.87-2.96
Ho2 0.9051 0.6651 0.9188  2 Cu 2.87-2.96
Ho3 0.2989 0.6010 0.6010  2 Cu 3.08, 2 Ho 3.14-3.27, 1 Bi 3.37
Ho4 0.5000 0.7539 0.2461  2 Cu 2.83
Ho5 0.5000 0.2461 0.7539  2 Cu 2.83
Ho6 0.7011 0.3990 0.3990  2 Cu 3.08, 2 Ho 3.14-3.27, 1 Bi 3.37
Ho7 0.0949 0.3349 0.0812  2 Cu 2.87-2.96
Ho8 0.0949 0.0812 0.3349  2 Cu 2.87-2.96
Cu1 0.0000 0.3050 0.6950  8 Ho 2.83-3.08
Cu2 0.0000 0.6950 0.3050  8 Ho 2.83-3.08
Bi1 0.5000 0.0000 0.0000  12 Ho 3.29-3.68

The calculation puts the mass density at 9.0 g cm⁻³. As for the formation energy from the elements: -0.1311 eV/atom. The density of states at the Fermi level comes out at 15.740 states/eV/cell. As for the space group: C2/m (12).

***

(13)
NdDyHo: optimized geometry, PBE-GGA.

a b c (Å): 3.6015 3.6015 17.5130
angles (deg): 89.99 95.90 120.03
Last column: nearest neighbours and their distance in Å.
Fractional coordinates of all 6 atoms:
Nd1 0.2759 0.1370 0.4128  3 Ho 3.59, 9 Nd 3.60-3.68
Nd2 0.7241 0.8630 0.5872  3 Ho 3.59, 9 Nd 3.60-3.68
Dy1 0.6120 0.3067 0.9187  9 Dy 3.51-3.60, 3 Ho 3.51-3.52
Dy2 0.3880 0.6933 0.0813  9 Dy 3.51-3.60, 3 Ho 3.51-3.52
Ho1 0.8304 0.4138 0.2442  3 Dy 3.51-3.52, 3 Nd 3.59, 6 Ho 3.60
Ho2 0.1696 0.5862 0.7558  3 Dy 3.51-3.52, 3 Nd 3.59, 6 Ho 3.60

The calculation puts the mass density at 8.0 g cm⁻³. As for the formation energy from the elements: 0.0141 eV/atom. The density of states at the Fermi level comes out at 8.451 states/eV/cell. As for the space group: C2/m (12).

***

(14)
TmCdPdPb: optimized geometry, PBE-GGA.

a b c (Å): 5.0174 5.0174 5.0174
angles (deg): 60.00 60.00 60.00
Last column: nearest neighbours and their distance in Å.
Fractional coordinates of all 4 atoms:
Pb1 0.5000 0.5000 0.5000  4 Pd 3.07, 4 Cd 3.07
Tm1 0.0000 0.0000 0.0000  4 Cd 3.07, 4 Pd 3.07
Pd1 0.7500 0.7500 0.7500  4 Pb 3.07, 4 Tm 3.07
Cd1 0.2500 0.2500 0.2500  4 Pb 3.07, 4 Tm 3.07

The calculation puts the mass density at 11.1 g cm⁻³. As for the formation energy from the elements: -0.3734 eV/atom. The density of states at the Fermi level comes out at 2.293 states/eV/cell. As for the space group: F-43m (216).

***

(15)
Nd4TlTeN: optimized geometry, PBE-GGA.

a b c (Å): 6.9324 6.9549 8.9022
angles (deg): 90.00 112.91 90.00
Last column: nearest neighbours and their distance in Å.
Fractional coordinates of all 14 atoms:
Nd1 0.9116 0.2500 0.8231  1 N 2.55
Nd2 0.4097 0.7500 0.8193  1 N 2.71
Nd3 0.0884 0.7500 0.1769  1 N 2.55
Nd4 0.5903 0.2500 0.1807  1 N 2.71
Nd5 0.5000 0.5000 0.5000  2 N 2.46
Nd6 0.0000 0.0000 0.5000  2 N 2.46
Nd7 0.5000 0.0000 0.5000  2 N 2.46
Nd8 0.0000 0.5000 0.5000  2 N 2.46
Tl1 0.1085 0.2500 0.2171  9 Nd 3.23-3.49
Tl2 0.8915 0.7500 0.7829  9 Nd 3.23-3.49
Te1 0.6094 0.7500 0.2189  9 Nd 3.28-3.49
Te2 0.3906 0.2500 0.7811  9 Nd 3.28-3.49
N1 0.2442 0.7500 0.4884  6 Nd 2.46-2.71
N2 0.7558 0.2500 0.5116  6 Nd 2.46-2.71

The calculation puts the mass density at 7.8 g cm⁻³. The raw formation energy is -0.864 eV/atom. The density of states at the Fermi level comes out at 12.050 states/eV/cell. As for the space group: Cmcm (63).

***

(16)
Tl2SeI4: optimized geometry, PBE-GGA.

a b c (Å): 8.1667 8.1667 7.3764
angles (deg): 123.61 123.61 90.00
Last column: nearest neighbours and their distance in Å.
Fractional coordinates of all 7 atoms:
Tl1 0.7500 0.2500 0.5000  8 I 3.69
Tl2 0.2500 0.7500 0.5000  8 I 3.69
Se1 0.5000 0.5000 0.0000  4 I 2.83
I1 0.7450 0.2554 0.0003  1 Se 2.83
I2 0.2554 0.7450 0.0003  1 Se 2.83
I3 0.7446 0.7446 0.9997  1 Se 2.83
I4 0.2550 0.2550 0.9997  1 Se 2.83

The calculation puts the mass density at 5.4 g cm⁻³. The raw formation energy is -0.351 eV/atom. As for the space group: I4/mmm (139).

***

(17)
RbSnBr2: optimized geometry, PBE-GGA.

a b c (Å): 5.7104 5.7104 5.7104
angles (deg): 60.00 60.00 60.00
Last column: nearest neighbours and their distance in Å.
Fractional coordinates of all 4 atoms:
Br1 0.2500 0.2500 0.2500  4 Sn 3.50, 4 Rb 3.50
Br2 0.7500 0.7500 0.7500  4 Sn 3.50, 4 Rb 3.50
Sn1 0.5000 0.5000 0.5000  8 Br 3.50
Rb1 0.0000 0.0000 0.0000  8 Br 3.50

The calculation puts the mass density at 4.6 g cm⁻³. The raw formation energy is -0.729 eV/atom. The density of states at the Fermi level comes out at 2.644 states/eV/cell. As for the space group: Fm-3m (225).

***

(18)
ZrReAg2: optimized geometry, PBE-GGA.

a b c (Å): 3.8503 3.8503 10.7596
angles (deg): 79.69 79.69 90.00
Last column: nearest neighbours and their distance in Å.
Fractional coordinates of all 8 atoms:
Re1 0.0000 0.0000 0.0000  4 Zr 2.72, 4 Ag 2.92
Re2 0.7500 0.2500 0.5000  4 Zr 2.72, 4 Ag 2.92
Zr1 0.5000 0.5000 0.0000  4 Re 2.72, 4 Ag 2.95
Zr2 0.2500 0.7500 0.5000  4 Re 2.72, 4 Ag 2.95
Ag1 0.6347 0.1250 0.2500  4 Ag 2.67-2.78, 2 Re 2.92, 2 Zr 2.95
Ag2 0.1153 0.6250 0.2500  4 Ag 2.67-2.78, 2 Re 2.92, 2 Zr 2.95
Ag3 0.3750 0.3653 0.7500  4 Ag 2.67-2.78, 2 Re 2.92, 2 Zr 2.95
Ag4 0.8750 0.8847 0.7500  4 Ag 2.67-2.78, 2 Re 2.92, 2 Zr 2.95

The calculation puts the mass density at 10.6 g cm⁻³. As for the formation energy from the elements: 0.6067 eV/atom. The density of states at the Fermi level comes out at 7.490 states/eV/cell. As for the space group: I-42d (122).

***

(19)
TbHf3: optimized geometry, PBE-GGA.

a b c (Å): 4.5904 4.5904 5.5938
angles (deg): 114.22 114.22 90.00
Last column: nearest neighbours and their distance in Å.
Fractional coordinates of all 4 atoms:
Tb1 0.0000 0.0000 0.0000  12 Hf 3.23-3.25
Hf1 0.7500 0.2500 0.5000  8 Hf 3.23-3.25, 4 Tb 3.23
Hf2 0.2500 0.7500 0.5000  8 Hf 3.23-3.25, 4 Tb 3.23
Hf3 0.5000 0.5000 0.0000  8 Hf 3.23, 4 Tb 3.25

The calculation puts the mass density at 12.0 g cm⁻³. As for the formation energy from the elements: 0.1830 eV/atom. The density of states at the Fermi level comes out at 5.437 states/eV/cell. As for the space group: I4/mmm (139).

***

(20)
Ba2Tl6Cd3: optimized geometry, PBE-GGA.

a b c (Å): 4.8942 9.2558 9.2558
angles (deg): 120.00 90.00 90.00
Last column: nearest neighbours and their distance in Å.
Fractional coordinates of all 11 atoms:
Ba1 0.0000 0.6667 0.3333  6 Cd 3.79, 9 Tl 3.88-4.08
Ba2 0.0000 0.3333 0.6667  6 Cd 3.79, 9 Tl 3.88-4.08
Tl1 0.5000 0.7035 0.7035  3 Cd 2.99-3.20
Tl2 0.5000 0.0000 0.2965  3 Cd 2.99-3.20
Tl3 0.0000 0.1959 0.1959  2 Cd 2.98, 2 Tl 3.14
Tl4 0.0000 0.8041 0.0000  2 Cd 2.98, 2 Tl 3.14
Tl5 0.5000 0.2965 0.0000  3 Cd 2.99-3.20
Tl6 0.0000 0.0000 0.8041  2 Cd 2.98, 2 Tl 3.14
Cd1 0.5000 0.3805 0.3805  5 Tl 2.98-3.20
Cd2 0.5000 0.6195 0.0000  5 Tl 2.98-3.20
Cd3 0.5000 0.0000 0.6195  5 Tl 2.98-3.20

The calculation puts the mass density at 8.4 g cm⁻³. As for the formation energy from the elements: -0.1813 eV/atom. The density of states at the Fermi level comes out at 3.887 states/eV/cell. As for the space group: P-62m (189).